VASP calculation (meta-GGA SCAN) on LaMnW at its PBEsol-relaxed geometry.

```
LaMnW
1.0
4.4475 0.0000 0.0000
2.2238 3.8517 0.0000
2.2238 1.2839 3.6314
La Mn W
1 1 1
Direct
0.2500 0.2500 0.2500
0.0000 0.0000 0.0000
0.5000 0.5000 0.5000
```

The space group is F-43m. As for the size of the total moment: 1.7 μB/f.u. The energy relative to the lowest polymorph listed for this composition is 986 meV/atom. As for the final energy: -41.909 eV per atom. The formation enthalpy at 0 K comes out at 5.321 eV per formula unit. As for the density of states at the Fermi level: 3.5 states/eV/f.u.